# 1
Tm3Mg3Zn2Hg | GGA-PBE | optimized geometry

Lattice parameters (Å, degrees): 7.5787 7.5787 4.1143 90.00 90.00 120.00
Atoms (fractional coordinates):
Tm1 0.0000 0.5842 0.0000
Tm2 0.4158 0.4158 0.0000
Tm3 0.5842 0.0000 0.0000
Mg1 0.0000 0.2568 0.5000
Mg2 0.2568 0.0000 0.5000
Mg3 0.7432 0.7432 0.5000
Zn1 0.3333 0.6667 0.5000
Zn2 0.6667 0.3333 0.5000
Hg1 0.0000 0.0000 0.0000

Results
The crystal system is hexagonal. The total energy is -23.541 eV/cell.

***

# 2
Tm3Mg3ZnHg2 | GGA-PBE | optimized geometry

Lattice parameters (Å, degrees): 7.7446 7.7446 4.0421 90.00 90.00 120.00
Atoms (fractional coordinates):
Tm1 0.0000 0.5913 0.0000
Tm2 0.4087 0.4087 0.0000
Tm3 0.5913 0.0000 0.0000
Mg1 0.0000 0.2445 0.5000
Mg2 0.2445 0.0000 0.5000
Mg3 0.7555 0.7555 0.5000
Zn1 0.0000 0.0000 0.0000
Hg1 0.3333 0.6667 0.5000
Hg2 0.6667 0.3333 0.5000

Results
The crystal system is hexagonal. The total energy is -23.066 eV/cell.

***

# 3
MgUHg | GGA-PBE | optimized geometry

Lattice parameters (Å, degrees): 6.9542 6.9542 6.9542 90.00 90.00 90.00
Atoms (fractional coordinates):
Mg1 0.0000 0.0000 0.0000
Mg2 0.0000 0.5000 0.5000
Mg3 0.5000 0.0000 0.5000
Mg4 0.5000 0.5000 0.0000
U1 0.0000 0.0000 0.5000
U2 0.0000 0.5000 0.0000
U3 0.5000 0.0000 0.0000
U4 0.5000 0.5000 0.5000
Hg1 0.2500 0.2500 0.2500
Hg2 0.2500 0.7500 0.7500
Hg3 0.7500 0.2500 0.7500
Hg4 0.7500 0.7500 0.2500

Results
The crystal system is cubic. The total energy is -45.739 eV/cell.

***

# 4
MgUHg | GGA-PBE | optimized geometry

Lattice parameters (Å, degrees): 7.1651 7.1651 7.1651 90.00 90.00 90.00
Atoms (fractional coordinates):
Mg1 0.0000 0.0000 0.0000
Mg2 0.0000 0.5000 0.5000
Mg3 0.5000 0.0000 0.5000
Mg4 0.5000 0.5000 0.0000
U1 0.2500 0.2500 0.7500
U2 0.2500 0.7500 0.2500
U3 0.7500 0.2500 0.2500
U4 0.7500 0.7500 0.7500
Hg1 0.0000 0.0000 0.5000
Hg2 0.0000 0.5000 0.0000
Hg3 0.5000 0.0000 0.0000
Hg4 0.5000 0.5000 0.5000

Results
The crystal system is cubic. The total energy is -40.792 eV/cell.

***

# 5
Mg3Hg2W2 | GGA-PBE | optimized geometry

Lattice parameters (Å, degrees): 8.0595 8.0595 8.0595 33.04 33.04 33.04
Atoms (fractional coordinates):
Mg1 0.0000 0.0000 0.0000
Mg2 0.2466 0.2466 0.2466
Mg3 0.5021 0.5021 0.5021
Hg1 0.1242 0.1242 0.1242
Hg2 0.6217 0.6217 0.6217
W1 0.3807 0.3807 0.3807
W2 0.7417 0.7417 0.7417

Results
The crystal system is trigonal. The total energy is -28.961 eV/cell.

***

# 6
MgHgW2 | GGA-PBE | optimized geometry

Lattice parameters (Å, degrees): 6.5247 6.5247 6.5247 90.00 90.00 90.00
Atoms (fractional coordinates):
Mg1 0.0000 0.0000 0.0000
Mg2 0.0000 0.5000 0.5000
Mg3 0.5000 0.0000 0.5000
Mg4 0.5000 0.5000 0.0000
Hg1 0.2500 0.2500 0.2500
Hg2 0.2500 0.7500 0.7500
Hg3 0.7500 0.2500 0.7500
Hg4 0.7500 0.7500 0.2500
W1 0.0000 0.0000 0.5000
W2 0.0000 0.5000 0.0000
W3 0.2500 0.2500 0.7500
W4 0.2500 0.7500 0.2500
W5 0.5000 0.0000 0.0000
W6 0.5000 0.5000 0.5000
W7 0.7500 0.2500 0.2500
W8 0.7500 0.7500 0.7500

Results
The crystal system is cubic. The total energy is -100.998 eV/cell.

***

# 7
Mg2HgW | GGA-PBE | optimized geometry

Lattice parameters (Å, degrees): 6.6996 6.6996 6.6996 90.00 90.00 90.00
Atoms (fractional coordinates):
Mg1 0.0000 0.0000 0.0000
Mg2 0.0000 0.5000 0.5000
Mg3 0.2500 0.2500 0.2500
Mg4 0.2500 0.7500 0.7500
Mg5 0.5000 0.0000 0.5000
Mg6 0.5000 0.5000 0.0000
Mg7 0.7500 0.2500 0.7500
Mg8 0.7500 0.7500 0.2500
Hg1 0.2500 0.2500 0.7500
Hg2 0.2500 0.7500 0.2500
Hg3 0.7500 0.2500 0.2500
Hg4 0.7500 0.7500 0.7500
W1 0.0000 0.0000 0.5000
W2 0.0000 0.5000 0.0000
W3 0.5000 0.0000 0.0000
W4 0.5000 0.5000 0.5000

Results
The crystal system is cubic. The total energy is -55.182 eV/cell.

***

# 8
YMgHg2 | GGA-PBE | optimized geometry

Lattice parameters (Å, degrees): 7.0772 7.5947 6.9783 90.00 90.00 90.00
Atoms (fractional coordinates):
Y1 0.0000 0.2500 0.0006
Y2 0.0000 0.7500 0.9994
Y3 0.5000 0.2500 0.4994
Y4 0.5000 0.7500 0.5006
Mg1 0.0000 0.2500 0.5004
Mg2 0.0000 0.7500 0.4996
Mg3 0.5000 0.2500 0.9996
Mg4 0.5000 0.7500 0.0004
Hg1 0.2500 0.9996 0.2500
Hg2 0.2500 0.0004 0.7500
Hg3 0.2500 0.5004 0.2500
Hg4 0.2500 0.4996 0.7500
Hg5 0.7500 0.9996 0.2500
Hg6 0.7500 0.0004 0.7500
Hg7 0.7500 0.5004 0.2500
Hg8 0.7500 0.4996 0.7500

Results
The crystal system is orthorhombic. The total energy is -40.747 eV/cell.

***

# 9
YMgHg2 | GGA-PBE | optimized geometry

Lattice parameters (Å, degrees): 5.1240 5.1240 8.5387 90.00 90.00 120.00
Atoms (fractional coordinates):
Y1 0.0000 0.0000 0.2500
Y2 0.0000 0.0000 0.7500
Mg1 0.3333 0.6667 0.2500
Mg2 0.6667 0.3333 0.7500
Hg1 0.3333 0.6667 0.5745
Hg2 0.3333 0.6667 0.9255
Hg3 0.6667 0.3333 0.0745
Hg4 0.6667 0.3333 0.4255

Results
The crystal system is hexagonal. The total energy is -17.409 eV/cell.

***

# 10
YMgHg2 | GGA-PBE | optimized geometry

Lattice parameters (Å, degrees): 4.8717 4.8717 9.1929 90.00 90.00 120.00
Atoms (fractional coordinates):
Y1 0.3333 0.6667 0.2500
Y2 0.6667 0.3333 0.7500
Mg1 0.0000 0.0000 0.0000
Mg2 0.0000 0.0000 0.5000
Hg1 0.3333 0.6667 0.5905
Hg2 0.3333 0.6667 0.9095
Hg3 0.6667 0.3333 0.0905
Hg4 0.6667 0.3333 0.4095

Results
The crystal system is hexagonal. The total energy is -20.298 eV/cell.

***

# 11
YMgHg2 | GGA-PBE | optimized geometry

Lattice parameters (Å, degrees): 5.0094 5.0094 3.7626 90.00 90.00 90.00
Atoms (fractional coordinates):
Y1 0.0000 0.0000 0.0000
Mg1 0.5000 0.5000 0.0000
Hg1 0.0000 0.5000 0.5000
Hg2 0.5000 0.0000 0.5000

Results
The crystal system is tetragonal. The total energy is -10.194 eV/cell.

***

# 12
YMgHg2 | GGA-PBE | optimized geometry

Lattice parameters (Å, degrees): 5.0958 5.0958 8.7824 90.00 90.00 120.00
Atoms (fractional coordinates):
Y1 0.0000 0.0000 0.0000
Y2 0.0000 0.0000 0.5000
Mg1 0.3333 0.6667 0.2500
Mg2 0.6667 0.3333 0.7500
Hg1 0.3333 0.6667 0.5911
Hg2 0.3333 0.6667 0.9089
Hg3 0.6667 0.3333 0.0911
Hg4 0.6667 0.3333 0.4089

Results
The crystal system is hexagonal. The total energy is -19.295 eV/cell.

***

# 13
Y2MgHg2 | GGA-PBE | optimized geometry

Lattice parameters (Å, degrees): 8.0299 8.0299 4.0087 90.00 90.00 90.00
Atoms (fractional coordinates):
Y1 0.1656 0.3344 0.0000
Y2 0.3344 0.8344 0.0000
Y3 0.6656 0.1656 0.0000
Y4 0.8344 0.6656 0.0000
Mg1 0.0000 0.0000 0.5000
Mg2 0.5000 0.5000 0.5000
Hg1 0.1350 0.6350 0.5000
Hg2 0.3650 0.1350 0.5000
Hg3 0.6350 0.8650 0.5000
Hg4 0.8650 0.3650 0.5000

Results
The crystal system is tetragonal. The total energy is -34.419 eV/cell.

***

# 14
YMgHg2 | GGA-PBE | optimized geometry

Lattice parameters (Å, degrees): 3.5367 3.5367 7.3712 90.00 90.00 90.00
Atoms (fractional coordinates):
Y1 0.0000 0.0000 0.0000
Mg1 0.0000 0.0000 0.5000
Hg1 0.5000 0.5000 0.2686
Hg2 0.5000 0.5000 0.7314

Results
The crystal system is tetragonal. The total energy is -10.156 eV/cell.

***

# 15
YMgHg2 | GGA-PBE | optimized geometry

Lattice parameters (Å, degrees): 5.0631 5.0631 7.1220 90.00 90.00 90.00
Atoms (fractional coordinates):
Y1 0.0000 0.0000 0.0000
Y2 0.5000 0.5000 0.5000
Mg1 0.0000 0.0000 0.5000
Mg2 0.5000 0.5000 0.0000
Hg1 0.0000 0.5000 0.2500
Hg2 0.0000 0.5000 0.7500
Hg3 0.5000 0.0000 0.2500
Hg4 0.5000 0.0000 0.7500

Results
The crystal system is tetragonal. The total energy is -20.947 eV/cell.

***

# 16
Y3Mg3ZnHg2 | GGA-PBE | optimized geometry

Lattice parameters (Å, degrees): 7.8124 7.8124 4.1040 90.00 90.00 120.00
Atoms (fractional coordinates):
Y1 0.0000 0.4076 0.0000
Y2 0.4076 0.0000 0.0000
Y3 0.5924 0.5924 0.0000
Mg1 0.0000 0.7564 0.5000
Mg2 0.2436 0.2436 0.5000
Mg3 0.7564 0.0000 0.5000
Zn1 0.0000 0.0000 0.0000
Hg1 0.3333 0.6667 0.5000
Hg2 0.6667 0.3333 0.5000

Results
The crystal system is hexagonal. The total energy is -29.368 eV/cell.

***

# 17
MgZr2Hg | GGA-PBE | optimized geometry

Lattice parameters (Å, degrees): 3.1652 3.1652 8.7848 90.00 90.00 90.00
Atoms (fractional coordinates):
Mg1 0.0000 0.0000 0.0000
Zr1 0.0000 0.0000 0.5230
Zr2 0.5000 0.5000 0.2669
Hg1 0.5000 0.5000 0.7741

Results
The crystal system is tetragonal. The total energy is -19.453 eV/cell.

***

# 18
HgMo | GGA-PBE | optimized geometry

Lattice parameters (Å, degrees): 5.9943 5.9943 5.9943 90.00 90.00 90.00
Atoms (fractional coordinates):
Hg1 0.0000 0.0000 0.0000
Hg2 0.0000 0.5000 0.5000
Hg3 0.5000 0.0000 0.5000
Hg4 0.5000 0.5000 0.0000
Mo1 0.2500 0.2500 0.7500
Mo2 0.2500 0.7500 0.2500
Mo3 0.7500 0.2500 0.2500
Mo4 0.7500 0.7500 0.7500

Results
The crystal system is cubic. The calculation puts the formation energy at 2.3862 eV per atom. The value obtained for the energy above the most stable polymorph in this dataset is 1690 meV per atom. The total energy is -25.493 eV/cell.

***

# 19
Na2HgMoS4 | GGA-PBE | optimized geometry

Lattice parameters (Å, degrees): 6.0115 6.0115 13.1006 90.00 90.00 90.00
Atoms (fractional coordinates):
Na1 0.0000 0.0000 0.0000
Na2 0.0000 0.5000 0.2500
Na3 0.5000 0.0000 0.7500
Na4 0.5000 0.5000 0.5000
Hg1 0.0000 0.5000 0.7500
Hg2 0.5000 0.0000 0.2500
Mo1 0.0000 0.0000 0.5000
Mo2 0.5000 0.5000 0.0000
S1 0.1922 0.7742 0.3997
S2 0.2258 0.1922 0.6003
S3 0.2742 0.3078 0.1003
S4 0.3078 0.7258 0.8997
S5 0.6922 0.2742 0.8997
S6 0.7258 0.6922 0.1003
S7 0.7742 0.8078 0.6003
S8 0.8078 0.2258 0.3997

Results
The crystal system is tetragonal. The value obtained for the energy above the most stable polymorph in this dataset is 0 meV per atom. The total energy is -70.517 eV/cell.

***

# 20
Na2HgMoS4 | GGA-PBE | optimized geometry

Lattice parameters (Å, degrees): 9.1340 10.2560 6.4588 90.00 134.92 90.00
Atoms (fractional coordinates):
Na1 0.0000 0.0000 0.0000
Na2 0.0000 0.2492 0.5000
Na3 0.5000 0.5000 0.0000
Na4 0.5000 0.7492 0.5000
Hg1 0.0000 0.7503 0.5000
Hg2 0.5000 0.2503 0.5000
Mo1 0.0000 0.5000 0.0000
Mo2 0.5000 0.0000 0.0000
S1 0.2033 0.6160 0.9855
S2 0.2177 0.3836 0.4215
S3 0.2823 0.8836 0.5785
S4 0.2967 0.1160 0.0145
S5 0.7033 0.1160 0.9855
S6 0.7177 0.8836 0.4215
S7 0.7823 0.3836 0.5785
S8 0.7967 0.6160 0.0145

Results
The crystal system is monoclinic. The value obtained for the energy above the most stable polymorph in this dataset is 44 meV per atom. The total energy is -69.805 eV/cell.